Here is a relaxed structure of CaMg2CrH8 from Alexandria. Energies are from GGA-PBE.

## Properties
**Spin magnetization**: 0.29 μB/cell
**Raw total energy**: -0.264 Ry per atom

abc: 3.2871 6.5045 4.7259
angles: 90.00 92.46 90.00
With the nearest neighbours (Å) after each atom.
Atoms (fractional coordinates):
Ca  0.0000  0.0000  0.0000  8 H 2.11-2.22
Mg  0.5000  0.2724  0.5000  8 H 2.01-2.10
Mg  0.5000  0.7276  0.5000  8 H 2.01-2.10
Cr  0.0000  0.5000  0.0000  8 H 1.76-1.90
H  0.0014  0.2933  0.2415  1 Cr 1.76
H  0.0014  0.7067  0.2415  1 Cr 1.76
H  0.4783  0.0000  0.7149  1 H 2.04, 2 Mg 2.04, 2 Ca 2.11-2.14
H  0.4915  0.5000  0.8034  1 H 1.86, 2 Cr 1.88-1.90, 2 Mg 2.06
H  0.5085  0.5000  0.1966  1 H 1.86, 2 Cr 1.88-1.90, 2 Mg 2.06
H  0.5217  0.0000  0.2851  1 H 2.04, 2 Mg 2.04, 2 Ca 2.11-2.14
H  0.9986  0.2933  0.7585  1 Cr 1.76
H  0.9986  0.7067  0.7585  1 Cr 1.76

***

Here is a relaxed structure of LaHfSnN2 from Alexandria. Energies are from GGA-PBE.

## Properties
**Spin magnetization**: 0.00 μB/cell
**Raw total energy**: -0.398 Ry per atom
**E_form (uncorrected)**: 1.688 eV/atom

abc: 4.3367 4.3367 5.8467
angles: 90.00 90.00 90.00
With the nearest neighbours (Å) after each atom.
Atoms (fractional coordinates):
La  0.0000  0.0000  0.0000  2 Sn 2.92, 4 Hf 3.07
Hf  0.5000  0.5000  0.0000  4 La 3.07
Sn  0.0000  0.0000  0.5000  4 N 2.17
N  0.0000  0.5000  0.5000  2 Sn 2.17
N  0.5000  0.0000  0.5000  2 Sn 2.17

***

Here is a relaxed structure of BaCeCrN4 from Alexandria. Energies are from GGA-PBE.

## Properties
**Spin magnetization**: 0.00 μB/cell
**Raw total energy**: -0.604 Ry per atom
**E_form (uncorrected)**: -0.960 eV/atom

abc: 5.8601 5.6714 7.4476
angles: 90.00 107.04 90.00
With the nearest neighbours (Å) after each atom.
Atoms (fractional coordinates):
Ba  0.2168  0.2500  0.4245  6 N 2.81-3.00
Ba  0.7832  0.7500  0.5755  6 N 2.81-3.00
Ce  0.2748  0.2500  0.9476  6 N 2.37-2.55
Ce  0.7252  0.7500  0.0524  6 N 2.37-2.55
Cr  0.2656  0.7500  0.1713  4 N 1.71-1.75
Cr  0.7344  0.2500  0.8287  4 N 1.71-1.75
N  0.0749  0.7500  0.3135  1 Cr 1.75
N  0.0747  0.7500  0.9490  1 Cr 1.71
N  0.4578  0.5091  0.1974  1 Cr 1.74
N  0.4578  0.9909  0.1974  1 Cr 1.74
N  0.5422  0.0091  0.8026  1 Cr 1.74
N  0.5422  0.4909  0.8026  1 Cr 1.74
N  0.9253  0.2500  0.0510  1 Cr 1.71
N  0.9251  0.2500  0.6865  1 Cr 1.75

***

Here is a relaxed structure of AcSb3N from Alexandria. Energies are from GGA-PBE.

## Properties
**Spin magnetization**: 0.00 μB/cell
**Raw total energy**: -0.366 Ry per atom
**E_form (uncorrected)**: -0.025 eV/atom

abc: 4.9471 4.9471 4.9471
angles: 90.00 90.00 90.00
With the nearest neighbours (Å) after each atom.
Atoms (fractional coordinates):
Ac  0.0000  0.0000  0.0000  12 Sb 3.50
Sb  0.0000  0.5000  0.5000  2 N 2.47
Sb  0.5000  0.0000  0.5000  2 N 2.47
Sb  0.5000  0.5000  0.0000  2 N 2.47
N  0.5000  0.5000  0.5000  6 Sb 2.47

***

Here is a relaxed structure of Sm2Dy12In from Alexandria. Energies are from GGA-PBE.

## Properties
**Spin magnetization**: 0.00 μB/cell
**Raw total energy**: -0.326 Ry per atom

abc: 6.6740 6.6740 23.9199
angles: 93.84 93.84 115.52
With the nearest neighbours (Å) after each atom.
Atoms (fractional coordinates):
Sm  0.2236  0.2236  0.2341  2 Sm 3.56, 10 Dy 3.64-3.84
Sm  0.2763  0.2763  0.7659  2 Sm 3.56, 10 Dy 3.63-3.85
Sm  0.7237  0.7237  0.2341  2 Sm 3.56, 10 Dy 3.63-3.85
Sm  0.7764  0.7764  0.7659  2 Sm 3.56, 10 Dy 3.64-3.84
Dy  0.0262  0.0262  0.3765  1 In 3.17, 4 Dy 3.29-3.52
Dy  0.0692  0.5693  0.4321  2 In 3.32, 9 Dy 3.47-3.66
Dy  0.0925  0.0925  0.9252  8 Dy 3.36-3.67
Dy  0.1015  0.6011  0.9438  10 Dy 3.21-3.56
Dy  0.1986  0.6984  0.1732  3 Dy 3.14-3.30
Dy  0.2413  0.7409  0.6946  4 Dy 3.14-3.47
Dy  0.2591  0.7587  0.3054  4 Dy 3.14-3.47
Dy  0.3016  0.8014  0.8268  3 Dy 3.14-3.30
Dy  0.3989  0.8985  0.0562  10 Dy 3.21-3.56
Dy  0.4071  0.4071  0.0745  8 Dy 3.36-3.67
Dy  0.4307  0.9308  0.5679  2 In 3.32, 9 Dy 3.47-3.66
Dy  0.4738  0.4738  0.6233  1 In 3.17, 4 Dy 3.29-3.52
Dy  0.5262  0.5262  0.3767  1 In 3.17, 4 Dy 3.29-3.52
Dy  0.5693  0.0692  0.4321  2 In 3.32, 9 Dy 3.47-3.66
Dy  0.5929  0.5929  0.9255  8 Dy 3.36-3.67
Dy  0.6011  0.1015  0.9438  10 Dy 3.21-3.56
Dy  0.6984  0.1986  0.1732  3 Dy 3.14-3.30
Dy  0.7409  0.2413  0.6946  4 Dy 3.14-3.47
Dy  0.7587  0.2591  0.3054  4 Dy 3.14-3.47
Dy  0.8014  0.3016  0.8268  3 Dy 3.14-3.30
Dy  0.8985  0.3989  0.0562  10 Dy 3.21-3.56
Dy  0.9075  0.9075  0.0748  8 Dy 3.36-3.67
Dy  0.9308  0.4307  0.5679  2 In 3.32, 9 Dy 3.47-3.66
Dy  0.9738  0.9738  0.6235  1 In 3.17, 4 Dy 3.29-3.52
In  0.2495  0.2495  0.4999  6 Dy 3.17-3.32, 1 In 3.55
In  0.7505  0.7505  0.5001  6 Dy 3.17-3.32, 1 In 3.55

***

Here is a relaxed structure of LiBeGaIr2 from Alexandria. Energies are from GGA-PBE.

## Properties
**Spin magnetization**: 0.00 μB/cell
**Raw total energy**: -0.327 Ry per atom

abc: 4.5927 4.5927 4.1599
angles: 90.00 90.00 90.00
With the nearest neighbours (Å) after each atom.
Atoms (fractional coordinates):
Li  0.0000  0.0000  0.0000  8 Ir 3.10, 4 Be 3.25
Be  0.5000  0.5000  0.0000  2 Ga 2.08
Ga  0.5000  0.5000  0.5000  2 Be 2.08, 4 Ir 2.30
Ir  0.0000  0.5000  0.5000  2 Ga 2.30
Ir  0.5000  0.0000  0.5000  2 Ga 2.30

***

Here is a relaxed structure of TcAgSb2 from Alexandria. Energies are from GGA-PBE.

## Properties
**Relative energy among the computed polymorphs**: 73 meV/atom
**Spin magnetization**: 0.00 μB/cell
**Raw total energy**: -0.381 Ry per atom
**E_form (uncorrected)**: 0.183 eV/atom

abc: 3.1867 4.1102 13.3566
angles: 90.00 90.00 90.00
With the nearest neighbours (Å) after each atom.
Atoms (fractional coordinates):
Tc  0.0000  0.0000  0.0000  6 Sb 2.70-2.72
Tc  0.5000  0.5000  0.5000  6 Sb 2.70-2.72
Ag  0.0000  0.5000  0.7141  6 Sb 2.92-3.07, 2 Ag 3.19, 2 Tc 3.27
Ag  0.5000  0.0000  0.2141  6 Sb 2.92-3.07, 2 Ag 3.19, 2 Tc 3.27
Sb  0.0000  0.0000  0.5585  4 Tc 2.72, 2 Ag 2.92
Sb  0.0000  0.5000  0.3365  2 Tc 2.70
Sb  0.5000  0.0000  0.8365  2 Tc 2.70
Sb  0.5000  0.5000  0.0585  4 Tc 2.72, 2 Ag 2.92

***

Here is a relaxed structure of UCu2Ag3S6 from Alexandria. Energies are from GGA-PBE.

## Properties
**Spin magnetization**: 0.12 μB/cell
**Raw total energy**: -0.353 Ry per atom
**E_form (uncorrected)**: -0.409 eV/atom

abc: 6.2544 6.2544 6.6956
angles: 100.76 100.76 114.44
With the nearest neighbours (Å) after each atom.
Atoms (fractional coordinates):
U  0.0000  0.0000  0.0000  6 S 2.57-2.70
Cu  0.3232  0.6768  0.0000  4 S 2.37-2.40
Cu  0.6768  0.3232  0.0000  4 S 2.37-2.40
Ag  0.1403  0.8597  0.5000  6 S 2.62-2.84
Ag  0.5000  0.5000  0.5000  6 S 2.78-2.88
Ag  0.8597  0.1403  0.5000  6 S 2.62-2.84
S  0.0408  0.3916  0.2476  1 Cu 2.37, 1 U 2.57, 1 Ag 2.62
S  0.2948  0.2948  0.8121  2 Cu 2.40
S  0.3916  0.0408  0.2476  1 Cu 2.37, 1 U 2.57, 1 Ag 2.62
S  0.6084  0.9592  0.7524  1 Cu 2.37, 1 U 2.57, 1 Ag 2.62
S  0.7052  0.7052  0.1879  2 Cu 2.40
S  0.9592  0.6084  0.7524  1 Cu 2.37, 1 U 2.57, 1 Ag 2.62